VASP calculation (PBE) on crystalline AlOsRh2 at its relaxed geometry.

a = 8.996 Å, b = 2.763 Å, c = 4.667 Å
α = 90.00°, β = 102.71°, γ = 90.00°
Space group Cm (No. 8)
Symmetry-distinct sites (fractional):
Al 0.000 0.000 0.000
Os 0.243 0.500 0.301
Rh 0.257 0.000 0.804
Rh 0.493 0.000 0.498

***

VASP calculation (PBE) on crystalline AlOs2Rh at its relaxed geometry.

a = 6.131 Å, b = 6.131 Å, c = 6.131 Å
α = 90.00°, β = 90.00°, γ = 90.00°
Space group F-43m (No. 216)
Symmetry-distinct sites (fractional):
Al 0.000 0.000 0.000
Os 0.000 0.000 0.500
Os 0.250 0.250 0.750
Rh 0.250 0.250 0.250

***

VASP calculation (PBE) on crystalline AlOs2Rh at its relaxed geometry.

a = 2.789 Å, b = 3.754 Å, c = 5.484 Å
α = 90.00°, β = 90.00°, γ = 90.00°
Space group Pmm2 (No. 25)
Symmetry-distinct sites (fractional):
Al 0.000 0.000 0.000
Os 0.000 0.000 0.493
Os 0.500 0.500 0.286
Rh 0.500 0.500 0.792

***

VASP calculation (PBE) on crystalline AlOsRh at its relaxed geometry.

a = 2.852 Å, b = 4.655 Å, c = 12.959 Å
α = 90.00°, β = 90.00°, γ = 90.00°
Space group Fmm2 (No. 42)
Symmetry-distinct sites (fractional):
Al 0.000 0.000 0.000
Os 0.000 0.000 0.663
Rh 0.000 0.000 0.345

- relative energy among the computed polymorphs (meV per atom) = 229

***

VASP calculation (PBE) on crystalline Al3OsRh at its relaxed geometry.

a = 4.620 Å, b = 4.620 Å, c = 4.620 Å
α = 90.00°, β = 90.00°, γ = 90.00°
Space group Pm-3m (No. 221)
Symmetry-distinct sites (fractional):
Al 0.000 0.000 0.500
Os 0.000 0.000 0.000
Rh 0.500 0.500 0.500

- relative energy among the computed polymorphs (meV per atom) = 0

***

VASP calculation (PBE) on crystalline AlOs2Rh at its relaxed geometry.

a = 2.793 Å, b = 4.688 Å, c = 8.865 Å
α = 90.00°, β = 90.00°, γ = 90.00°
Space group Cmmm (No. 65)
Symmetry-distinct sites (fractional):
Al 0.000 0.000 0.000
Os 0.000 0.500 0.239
Rh 0.000 0.000 0.500

***

VASP calculation (PBE) on crystalline Al2OsRh at its relaxed geometry.

a = 6.592 Å, b = 6.592 Å, c = 5.725 Å
α = 90.00°, β = 90.00°, γ = 90.00°
Space group I-42d (No. 122)
Symmetry-distinct sites (fractional):
Al 0.241 0.250 0.125
Os 0.000 0.000 0.500
Rh 0.000 0.000 0.000

***

VASP calculation (PBE) on crystalline Al4Os3Rh at its relaxed geometry.

a = 3.019 Å, b = 4.262 Å, c = 8.514 Å
α = 90.00°, β = 90.00°, γ = 90.00°
Space group Pmmm (No. 47)
Symmetry-distinct sites (fractional):
Al 0.000 0.000 0.000
Al 0.000 0.000 0.500
Al 0.000 0.500 0.248
Os 0.500 0.000 0.251
Os 0.500 0.500 0.000
Rh 0.500 0.500 0.500

***

VASP calculation (PBE) on crystalline AlOsRh at its relaxed geometry.

a = 2.760 Å, b = 2.760 Å, c = 11.123 Å
α = 90.00°, β = 90.00°, γ = 90.00°
Space group I4mm (No. 107)
Symmetry-distinct sites (fractional):
Al 0.000 0.000 0.000
Os 0.000 0.000 0.332
Rh 0.000 0.000 0.666

- relative energy among the computed polymorphs (meV per atom) = 0

***

VASP calculation (PBE) on crystalline Al2OsRh at its relaxed geometry.

a = 6.018 Å, b = 6.018 Å, c = 6.018 Å
α = 90.00°, β = 90.00°, γ = 90.00°
Space group Fm-3m (No. 225)
Symmetry-distinct sites (fractional):
Al 0.250 0.250 0.250
Os 0.000 0.000 0.000
Rh 0.000 0.000 0.500

***

VASP calculation (PBE) on crystalline AlOsRh at its relaxed geometry.

a = 2.7672 Å, b = 2.7672 Å, c = 6.3869 Å
α = 90.00°, β = 90.00°, γ = 120.00°
Space group P3m1 (No. 156)
Symmetry-distinct sites (fractional):
Al 0.0000 0.0000 0.0000
Os 0.6667 0.3333 0.3341
Rh 0.3333 0.6667 0.6809

- relative energy among the computed polymorphs (meV per atom) = 27

***

VASP calculation (PBE) on crystalline AlOs2Rh at its relaxed geometry.

a = 2.800 Å, b = 4.679 Å, c = 8.845 Å
α = 90.00°, β = 90.00°, γ = 90.00°
Space group Cmm2 (No. 35)
Symmetry-distinct sites (fractional):
Al 0.000 0.000 0.000
Os 0.000 0.000 0.501
Os 0.000 0.500 0.244
Rh 0.000 0.500 0.770

***

VASP calculation (PBE) on crystalline AlOsRh2 at its relaxed geometry.

a = 2.805 Å, b = 2.805 Å, c = 7.144 Å
α = 90.00°, β = 90.00°, γ = 90.00°
Space group P4mm (No. 99)
Symmetry-distinct sites (fractional):
Al 0.000 0.000 0.000
Os 0.500 0.500 0.253
Rh 0.000 0.000 0.499
Rh 0.500 0.500 0.778

***

VASP calculation (PBE) on crystalline AlOsRh3 at its relaxed geometry.

a = 4.704 Å, b = 4.704 Å, c = 4.704 Å
α = 90.00°, β = 90.00°, γ = 90.00°
Space group Pm-3m (No. 221)
Symmetry-distinct sites (fractional):
Al 0.000 0.000 0.000
Os 0.500 0.500 0.500
Rh 0.000 0.500 0.500

- relative energy among the computed polymorphs (meV per atom) = 134

***

VASP calculation (PBE) on crystalline Al2OsRh at its relaxed geometry.

a = 2.8166 Å, b = 2.8166 Å, c = 25.5245 Å
α = 90.00°, β = 90.00°, γ = 120.00°
Space group R3m (No. 160, hexagonal axes)
Symmetry-distinct sites (fractional):
Al 0.0000 0.0000 0.0000
Al 0.0000 0.0000 0.2434
Os 0.0000 0.0000 0.7467
Rh 0.0000 0.0000 0.4998

***

Energy? In order: -61.92, -132.78, -34.37, -90.25, -28.07, -65.32, -102.77, -60.59, -46.50, -116.36, -23.17, -65.94, -30.84, -31.00, -80.81 eV/cell.